Material: BeFeNi4
Method: DFT, PBE
State: optimized geometry

## Properties
DOS at the Fermi energy   6.9 states/eV/cell
Density   7.23 g cm⁻³
V   11.476 Å³ per atom
Space group   F-43m (216)
Energy relative to the lowest polymorph listed for this composition   327 meV/atom
Energy of formation from the pure elements   0.1535 eV/atom

Cell: 4.601 4.601 4.601 Å, 60.00 60.00 60.00°
Fractional coordinates of all 6 atoms:
Be 0.000 0.000 0.000
Fe 0.750 0.750 0.750
Ni 0.375 0.375 0.375
Ni 0.375 0.375 0.876
Ni 0.375 0.876 0.375
Ni 0.876 0.375 0.375

Material: BaCuSe
Method: DFT, PBE
State: optimized geometry

## Properties
DOS at the Fermi energy   2.9 states/eV/cell
Density   4.71 g cm⁻³
V   32.916 Å³ per atom
Raw formation energy   -0.49 eV per atom
Space group   F-43m (216)
Energy relative to the lowest polymorph listed for this composition   323 meV/atom

Cell: 5.188 5.188 5.188 Å, 60.00 60.00 60.00°
Fractional coordinates of all 3 atoms:
Ba 0.000 0.000 0.000
Cu 0.500 0.500 0.500
Se 0.250 0.250 0.250

Material: SiNiPb
Method: DFT, PBE
State: optimized geometry

## Properties
DOS at the Fermi energy   1.6 states/eV/cell
Density   8.61 g cm⁻³
V   18.906 Å³ per atom
Raw formation energy   0.18 eV per atom
Space group   F-43m (216)
Energy relative to the lowest polymorph listed for this composition   88 meV/atom

Cell: 4.313 4.313 4.313 Å, 60.00 60.00 60.00°
Fractional coordinates of all 3 atoms:
Si 0.000 0.000 0.000
Ni 0.250 0.250 0.250
Pb 0.500 0.500 0.500

Material: AcPmSmEr2
Method: DFT, PBE
State: optimized geometry

## Properties
DOS at the Fermi energy   15.5 states/eV/cell
Density   7.74 g cm⁻³
V   36.790 Å³ per atom
Space group   Cmcm (63)
Energy of formation from the pure elements   0.3654 eV/atom

Cell: 9.295 9.295 6.536 Å, 90.00 90.00 139.35°
Fractional coordinates of all 10 atoms:
Ac 0.158 0.842 0.750
Ac 0.842 0.158 0.250
Pm 0.348 0.652 0.750
Pm 0.652 0.348 0.250
Sm 0.224 0.776 0.250
Sm 0.776 0.224 0.750
Er 0.248 0.248 0.000
Er 0.248 0.248 0.500
Er 0.752 0.752 0.000
Er 0.752 0.752 0.500

Material: Ta2AgSbP
Method: DFT, PBE
State: optimized geometry

## Properties
DOS at the Fermi energy   5.4 states/eV/cell
Density   9.24 g cm⁻³
V   22.382 Å³ per atom
Raw formation energy   0.75 eV per atom
Space group   P4/mmm (123)

Cell: 4.611 4.611 5.263 Å, 90.00 90.00 90.00°
Fractional coordinates of all 5 atoms:
Ta 0.000 0.500 0.000
Ta 0.500 0.000 0.000
Ag 0.000 0.000 0.500
Sb 0.500 0.500 0.500
P 0.500 0.500 0.000

Material: LiNbBi3
Method: DFT, PBE
State: optimized geometry

## Properties
DOS at the Fermi energy   3.1 states/eV/cell
Density   9.00 g cm⁻³
V   26.821 Å³ per atom
Space group   Pm-3m (221)
Energy relative to the lowest polymorph listed for this composition   388 meV/atom
Energy of formation from the pure elements   0.6923 eV/atom

Cell: 5.119 5.119 5.119 Å, 90.00 90.00 90.00°
Fractional coordinates of all 5 atoms:
Li 0.000 0.000 0.000
Nb 0.500 0.500 0.500
Bi 0.000 0.000 0.500
Bi 0.000 0.500 0.000
Bi 0.500 0.000 0.000